(1)
The following is a PBE-GGA calculation of a geometry-optimized BiIr3C structure, from the Alexandria database.

The structure in CIF format:
```
data_BiIr3C
_chemical_formula_sum 'Bi1 Ir3 C1'
_symmetry_space_group_name_H-M 'P 1'
_symmetry_Int_Tables_number 1
_symmetry_space_group_name_Hall 'P 1'
_cell_length_a 4.264
_cell_length_b 4.264
_cell_length_c 4.264
_cell_angle_alpha 90.00
_cell_angle_beta 90.00
_cell_angle_gamma 90.00
loop_
_atom_site_label
_atom_site_type_symbol
_atom_site_fract_x
_atom_site_fract_y
_atom_site_fract_z
C1 C 0.000 0.000 0.000
Ir1 Ir 0.500 0.000 0.000
Bi1 Bi 0.500 0.500 0.500
Ir2 Ir 0.000 0.500 0.000
Ir3 Ir 0.000 0.000 0.500
```

Properties
Density of states at the Fermi level: 3.0 states/eV/f.u.
Energy above the lowest structure with this stoichiometry: 0 meV per atom
ΔE_f: 0.61 eV per atom

***

(2)
The following is a PBE-GGA calculation of a geometry-optimized CeMg4In2 structure, from the Alexandria database.

The structure in CIF format:
```
data_CeMg4In2
_chemical_formula_sum 'Ce1 Mg4 In2'
_symmetry_space_group_name_H-M 'P 1'
_symmetry_Int_Tables_number 1
_symmetry_space_group_name_Hall 'P 1'
_cell_length_a 4.881
_cell_length_b 4.881
_cell_length_c 7.487
_cell_angle_alpha 90.00
_cell_angle_beta 90.00
_cell_angle_gamma 90.00
loop_
_atom_site_label
_atom_site_type_symbol
_atom_site_fract_x
_atom_site_fract_y
_atom_site_fract_z
In1 In 0.000 0.000 0.000
In2 In 0.500 0.500 0.500
Mg1 Mg 0.000 0.500 0.716
Mg2 Mg 0.500 0.000 0.716
Mg3 Mg 0.500 0.000 0.284
Ce1 Ce 0.500 0.500 0.000
Mg4 Mg 0.000 0.500 0.284
```

Properties
Density of states at the Fermi level: 7.9 states/eV/f.u.
Energy above the lowest structure with this stoichiometry: 30 meV per atom
ΔE_f: -0.14 eV per atom

***

(3)
The following is a PBE-GGA calculation of a geometry-optimized TbPmGdPu structure, from the Alexandria database.

The structure in CIF format:
```
data_TbPmGdPu
_chemical_formula_sum 'Tb1 Pm1 Gd1 Pu1'
_symmetry_space_group_name_H-M 'P 1'
_symmetry_Int_Tables_number 1
_symmetry_space_group_name_Hall 'P 1'
_cell_length_a 5.641
_cell_length_b 5.641
_cell_length_c 5.641
_cell_angle_alpha 60.00
_cell_angle_beta 60.00
_cell_angle_gamma 60.00
loop_
_atom_site_label
_atom_site_type_symbol
_atom_site_fract_x
_atom_site_fract_y
_atom_site_fract_z
Pu1 Pu 0.750 0.750 0.750
Tb1 Tb 0.500 0.500 0.500
Pm1 Pm 0.000 0.000 0.000
Gd1 Gd 0.250 0.250 0.250
```

Properties
Density of states at the Fermi level: 11.6 states/eV/f.u.
ΔE_f: 0.19 eV per atom

***

(4)
The following is a PBE-GGA calculation of a geometry-optimized CsNiH structure, from the Alexandria database.

The structure in CIF format:
```
data_CsNiH
_chemical_formula_sum 'Cs2 Ni2 H2'
_symmetry_space_group_name_H-M 'P 1'
_symmetry_Int_Tables_number 1
_symmetry_space_group_name_Hall 'P 1'
_cell_length_a 5.149
_cell_length_b 3.641
_cell_length_c 11.162
_cell_angle_alpha 90.00
_cell_angle_beta 90.00
_cell_angle_gamma 134.99
loop_
_atom_site_label
_atom_site_type_symbol
_atom_site_fract_x
_atom_site_fract_y
_atom_site_fract_z
Ni1 Ni 0.642 0.283 0.399
Ni2 Ni 0.642 0.283 0.601
Cs1 Cs 0.155 0.310 0.169
H1 H 0.420 0.840 0.500
H2 H 0.654 0.308 0.000
Cs2 Cs 0.155 0.310 0.831
```

Properties
Density of states at the Fermi level: 4.5 states/eV/f.u.
DFT total energy: -7.77 eV/f.u.

***

(5)
The following is a PBE-GGA calculation of a geometry-optimized Hg2MoPt structure, from the Alexandria database.

The structure in CIF format:
```
data_Hg2MoPt
_chemical_formula_sum 'Hg2 Mo1 Pt1'
_symmetry_space_group_name_H-M 'P 1'
_symmetry_Int_Tables_number 1
_symmetry_space_group_name_Hall 'P 1'
_cell_length_a 5.805
_cell_length_b 5.805
_cell_length_c 5.805
_cell_angle_alpha 151.19
_cell_angle_beta 127.21
_cell_angle_gamma 61.25
loop_
_atom_site_label
_atom_site_type_symbol
_atom_site_fract_x
_atom_site_fract_y
_atom_site_fract_z
Pt1 Pt 0.250 0.750 0.500
Mo1 Mo 0.750 0.250 0.500
Hg1 Hg 0.003 0.003 0.000
Hg2 Hg 0.497 0.497 0.000
```

Properties
Density of states at the Fermi level: 2.8 states/eV/f.u.
Energy above the lowest structure with this stoichiometry: 284 meV per atom
ΔE_f: 0.41 eV per atom

***

(6)
The following is a PBE-GGA calculation of a geometry-optimized KNi2Pb structure, from the Alexandria database.

The structure in CIF format:
```
data_KNi2Pb
_chemical_formula_sum 'K1 Ni2 Pb1'
_symmetry_space_group_name_H-M 'P 1'
_symmetry_Int_Tables_number 1
_symmetry_space_group_name_Hall 'P 1'
_cell_length_a 5.507
_cell_length_b 5.507
_cell_length_c 5.507
_cell_angle_alpha 135.80
_cell_angle_beta 135.80
_cell_angle_gamma 64.29
loop_
_atom_site_label
_atom_site_type_symbol
_atom_site_fract_x
_atom_site_fract_y
_atom_site_fract_z
K1 K 0.750 0.250 0.500
Ni1 Ni 0.000 0.000 0.000
Pb1 Pb 0.500 0.500 0.000
Ni2 Ni 0.250 0.750 0.500
```

Properties
Density of states at the Fermi level: 2.1 states/eV/f.u.
ΔE_f: 0.72 eV per atom

***

(7)
The following is a PBE-GGA calculation of a geometry-optimized Pm3HgBi structure, from the Alexandria database.

The structure in CIF format:
```
data_Pm3HgBi
_chemical_formula_sum 'Pm12 Hg4 Bi4'
_symmetry_space_group_name_H-M 'P 1'
_symmetry_Int_Tables_number 1
_symmetry_space_group_name_Hall 'P 1'
_cell_length_a 6.667
_cell_length_b 9.808
_cell_length_c 9.808
_cell_angle_alpha 87.40
_cell_angle_beta 98.47
_cell_angle_gamma 98.47
loop_
_atom_site_label
_atom_site_type_symbol
_atom_site_fract_x
_atom_site_fract_y
_atom_site_fract_z
Pm1 Pm 0.894 0.876 0.764
Bi1 Bi 0.520 0.706 0.556
Pm2 Pm 0.394 0.764 0.876
Hg1 Hg 0.750 0.895 0.105
Bi2 Bi 0.020 0.556 0.706
Hg2 Hg 0.250 0.858 0.142
Hg3 Hg 0.250 0.105 0.895
Bi3 Bi 0.480 0.294 0.444
Pm3 Pm 0.624 0.975 0.376
Pm4 Pm 0.542 0.424 0.752
Pm5 Pm 0.876 0.624 0.025
Bi4 Bi 0.980 0.444 0.294
Pm6 Pm 0.106 0.124 0.236
Hg4 Hg 0.750 0.142 0.858
Pm7 Pm 0.958 0.248 0.576
Pm8 Pm 0.376 0.025 0.624
Pm9 Pm 0.458 0.576 0.248
Pm10 Pm 0.124 0.376 0.975
Pm11 Pm 0.606 0.236 0.124
Pm12 Pm 0.042 0.752 0.424
```

Properties
Density of states at the Fermi level: 4.6 states/eV/f.u.
ΔE_f: -0.44 eV per atom

***

(8)
The following is a PBE-GGA calculation of a geometry-optimized GeH2Se structure, from the Alexandria database.

The structure in CIF format:
```
data_GeH2Se
_chemical_formula_sum 'Ge1 H2 Se1'
_symmetry_space_group_name_H-M 'P 1'
_symmetry_Int_Tables_number 1
_symmetry_space_group_name_Hall 'P 1'
_cell_length_a 5.208
_cell_length_b 2.856
_cell_length_c 5.221
_cell_angle_alpha 90.00
_cell_angle_beta 114.50
_cell_angle_gamma 90.00
loop_
_atom_site_label
_atom_site_type_symbol
_atom_site_fract_x
_atom_site_fract_y
_atom_site_fract_z
Se1 Se 0.600 0.000 0.271
Ge1 Ge 0.113 0.000 0.753
H1 H 0.776 0.000 0.093
H2 H 0.926 0.000 0.939
```

Properties
Density of states at the Fermi level: 1.1 states/eV/f.u.
Energy above the lowest structure with this stoichiometry: 308 meV per atom

***

(9)
The following is a PBE-GGA calculation of a geometry-optimized Pr2Sn4IrPt3 structure, from the Alexandria database.

The structure in CIF format:
```
data_Pr2Sn4IrPt3
_chemical_formula_sum 'Pr2 Sn4 Ir1 Pt3'
_symmetry_space_group_name_H-M 'P 1'
_symmetry_Int_Tables_number 1
_symmetry_space_group_name_Hall 'P 1'
_cell_length_a 4.555
_cell_length_b 4.555
_cell_length_c 10.893
_cell_angle_alpha 90.00
_cell_angle_beta 90.00
_cell_angle_gamma 90.00
loop_
_atom_site_label
_atom_site_type_symbol
_atom_site_fract_x
_atom_site_fract_y
_atom_site_fract_z
Sn1 Sn 0.500 0.500 0.000
Pr1 Pr 0.500 0.000 0.259
Sn2 Sn 0.000 0.500 0.371
Pr2 Pr 0.000 0.500 0.741
Sn3 Sn 0.000 0.000 0.000
Sn4 Sn 0.500 0.000 0.629
Pt1 Pt 0.000 0.000 0.500
Ir1 Ir 0.500 0.500 0.500
Pt2 Pt 0.500 0.000 0.867
Pt3 Pt 0.000 0.500 0.133
```

Properties
Density of states at the Fermi level: 6.3 states/eV/f.u.
ΔE_f: -0.77 eV per atom

***

(10)
The following is a PBE-GGA calculation of a geometry-optimized Er2ZnGa2Ni5 structure, from the Alexandria database.

The structure in CIF format:
```
data_Er2ZnGa2Ni5
_chemical_formula_sum 'Er4 Zn2 Ga4 Ni10'
_symmetry_space_group_name_H-M 'P 1'
_symmetry_Int_Tables_number 1
_symmetry_space_group_name_Hall 'P 1'
_cell_length_a 3.361
_cell_length_b 9.534
_cell_length_c 9.534
_cell_angle_alpha 90.00
_cell_angle_beta 90.00
_cell_angle_gamma 90.00
loop_
_atom_site_label
_atom_site_type_symbol
_atom_site_fract_x
_atom_site_fract_y
_atom_site_fract_z
Zn1 Zn 0.000 0.500 0.500
Ni1 Ni 0.500 0.299 0.555
Ni2 Ni 0.500 0.555 0.701
Er1 Er 0.000 0.675 0.175
Ni3 Ni 0.500 0.055 0.799
Ga1 Ga 0.000 0.877 0.377
Ni4 Ni 0.500 0.799 0.945
Ni5 Ni 0.500 0.000 0.500
Ga2 Ga 0.000 0.377 0.123
Ga3 Ga 0.000 0.123 0.623
Ni6 Ni 0.500 0.201 0.055
Ni7 Ni 0.500 0.701 0.445
Er2 Er 0.000 0.175 0.325
Er3 Er 0.000 0.825 0.675
Ni8 Ni 0.500 0.945 0.201
Ga4 Ga 0.000 0.623 0.877
Ni9 Ni 0.500 0.500 0.000
Er4 Er 0.000 0.325 0.825
Zn2 Zn 0.000 0.000 0.000
Ni10 Ni 0.500 0.445 0.299
```

Properties
Density of states at the Fermi level: 6.8 states/eV/f.u.
ΔE_f: -0.34 eV per atom